(1)
Compound: Ga5Ag4
Source: Alexandria
Functional: PBE
Structure: relaxed

Electronic total energy, eV/atom: -2.793
Calculated formation energy, eV per atom: 0.156
M_tot, μB/cell: 0.00
DOS at the Fermi energy, states/eV per cell: 3.195

Cell lengths 9.0220, 9.0220, 9.0220 Å; angles 91.39, 91.39, 162.06 degrees
Last column: nearest neighbours and their distance in Å.
Sites, in units of the cell vectors:
Ga  0.0000  0.0000  0.0000  4 Ag 2.81, 2 Ga 2.81
Ga  0.3146  0.3146  0.6291  4 Ga 2.70-2.81, 4 Ag 2.77
Ga  0.3146  0.6854  0.0000  4 Ga 2.70-2.81, 4 Ag 2.77
Ga  0.6854  0.3146  0.0000  4 Ga 2.70-2.81, 4 Ag 2.77
Ga  0.6854  0.6854  0.3709  4 Ga 2.70-2.81, 4 Ag 2.77
Ag  0.0000  0.2226  0.2226  5 Ga 2.77-2.81, 2 Ag 2.81
Ag  0.0000  0.7774  0.7774  5 Ga 2.77-2.81, 2 Ag 2.81
Ag  0.2226  0.0000  0.2226  5 Ga 2.77-2.81, 2 Ag 2.81
Ag  0.7774  0.0000  0.7774  5 Ga 2.77-2.81, 2 Ag 2.81



(2)
Compound: Ga3Ag
Source: Alexandria
Functional: PBE
Structure: relaxed

Electronic total energy, eV/atom: -2.949
Calculated formation energy, eV per atom: 0.034
M_tot, μB/cell: 0.00
DOS at the Fermi energy, states/eV per cell: 2.438

Cell lengths 4.8844, 4.8844, 8.3554 Å; angles 90.00, 90.00, 128.81 degrees
Last column: nearest neighbours and their distance in Å.
Sites, in units of the cell vectors:
Ga  0.1087  0.8913  0.7500  3 Ag 2.59-2.78, 2 Ga 2.86
Ga  0.3572  0.6428  0.5305  2 Ga 2.57-2.86, 3 Ag 2.79-2.82
Ga  0.3572  0.6428  0.9695  2 Ga 2.57-2.86, 3 Ag 2.79-2.82
Ga  0.6428  0.3572  0.0305  2 Ga 2.57-2.86, 3 Ag 2.79-2.82
Ga  0.6428  0.3572  0.4695  2 Ga 2.57-2.86, 3 Ag 2.79-2.82
Ga  0.8913  0.1087  0.2500  3 Ag 2.59-2.78, 2 Ga 2.86
Ag  0.1854  0.8146  0.2500  9 Ga 2.59-2.82
Ag  0.8146  0.1854  0.7500  9 Ga 2.59-2.82



(3)
Compound: Ga3Ag7
Source: Alexandria
Functional: PBE
Structure: relaxed

Electronic total energy, eV/atom: -2.898
Calculated formation energy, eV per atom: 0.006
M_tot, μB/cell: 0.00
DOS at the Fermi energy, states/eV per cell: 2.842

Cell lengths 7.7294, 7.7294, 5.7035 Å; angles 104.08, 104.08, 32.12 degrees
Last column: nearest neighbours and their distance in Å.
Sites, in units of the cell vectors:
Ga  0.0000  0.0000  0.0000  12 Ag 2.85-3.04
Ga  0.1950  0.1950  0.6198  10 Ag 2.80-3.02
Ga  0.8050  0.8050  0.3802  10 Ag 2.80-3.02
Ag  0.0000  0.0000  0.5000  4 Ga 2.80-2.85, 8 Ag 2.92-3.00
Ag  0.2048  0.2048  0.1203  5 Ga 2.81-2.94, 7 Ag 2.95-3.03
Ag  0.3898  0.3898  0.6691  5 Ga 2.80-3.04, 7 Ag 2.85-3.00
Ag  0.4078  0.4078  0.1785  8 Ag 2.85-2.97, 4 Ga 2.86-3.02
Ag  0.5922  0.5922  0.8215  8 Ag 2.85-2.97, 4 Ga 2.86-3.02
Ag  0.6102  0.6102  0.3309  5 Ga 2.80-3.04, 7 Ag 2.85-3.00
Ag  0.7952  0.7952  0.8797  5 Ga 2.81-2.94, 7 Ag 2.95-3.03



(4)
Compound: Ga5Ag
Source: Alexandria
Functional: PBE
Structure: relaxed

Electronic total energy, eV/atom: -2.954
Calculated formation energy, eV per atom: 0.043
M_tot, μB/cell: 0.00
DOS at the Fermi energy, states/eV per cell: 1.484

Cell lengths 8.0445, 8.0445, 2.9466 Å; angles 90.00, 90.00, 143.34 degrees
Last column: nearest neighbours and their distance in Å.
Sites, in units of the cell vectors:
Ga  0.0000  0.0000  0.0000  4 Ag 2.93, 6 Ga 2.95-3.09
Ga  0.1781  0.8219  0.5000  10 Ga 2.92-3.09
Ga  0.3435  0.6565  0.0000  2 Ag 2.81, 8 Ga 2.92-2.95
Ga  0.6565  0.3435  0.0000  2 Ag 2.81, 8 Ga 2.92-2.95
Ga  0.8219  0.1781  0.5000  10 Ga 2.92-3.09
Ag  0.5000  0.5000  0.5000  8 Ga 2.81-2.93, 2 Ag 2.95



(5)
Compound: Ga3Ag5
Source: Alexandria
Functional: PBE
Structure: relaxed

Electronic total energy, eV/atom: -2.912
Calculated formation energy, eV per atom: 0.005
M_tot, μB/cell: 0.00
DOS at the Fermi energy, states/eV per cell: 2.850

Cell lengths 2.9837, 5.9411, 7.9769 Å; angles 90.00, 90.00, 90.00 degrees
Last column: nearest neighbours and their distance in Å.
Sites, in units of the cell vectors:
Ga  0.0000  0.0000  0.0000  6 Ag 2.84-2.98, 6 Ga 2.91-2.98
Ga  0.5000  0.2385  0.2573  6 Ga 2.83-3.11, 6 Ag 2.84-2.89
Ga  0.5000  0.7615  0.2573  6 Ga 2.83-3.11, 6 Ag 2.84-2.89
Ag  0.0000  0.0000  0.5068  4 Ga 2.86, 8 Ag 2.94-2.98
Ag  0.0000  0.5000  0.0252  6 Ga 2.84-2.98, 6 Ag 2.96-2.98
Ag  0.0000  0.5000  0.4998  4 Ga 2.89, 8 Ag 2.96-2.98
Ag  0.5000  0.2531  0.7629  2 Ga 2.84, 10 Ag 2.93-3.01
Ag  0.5000  0.7469  0.7629  2 Ga 2.84, 10 Ag 2.93-3.01



(6)
Compound: GdGa4Ag
Source: Alexandria
Functional: PBE
Structure: relaxed

Electronic total energy, eV/atom: -5.056
Calculated formation energy, eV per atom: -0.216
M_tot, μB/cell: 7.18
DOS at the Fermi energy, states/eV per cell: 2.407

Cell lengths 5.5061, 5.5061, 5.5061 Å; angles 60.00, 60.00, 60.00 degrees
Last column: nearest neighbours and their distance in Å.
Sites, in units of the cell vectors:
Gd  0.0000  0.0000  0.0000  12 Ga 3.23, 4 Ag 3.37
Ga  0.3747  0.3747  0.3747  6 Ga 2.75-2.76
Ga  0.3747  0.3747  0.8759  6 Ga 2.75-2.76
Ga  0.3747  0.8759  0.3747  6 Ga 2.75-2.76
Ga  0.8759  0.3747  0.3747  6 Ga 2.75-2.76
Ag  0.7500  0.7500  0.7500  12 Ga 3.23, 4 Gd 3.37



(7)
Compound: GdGa2Ag
Source: Alexandria
Functional: PBE
Structure: relaxed

Electronic total energy, eV/atom: -6.117
Calculated formation energy, eV per atom: -0.370
M_tot, μB/cell: 7.20
DOS at the Fermi energy, states/eV per cell: 2.167

Cell lengths 4.4013, 4.4013, 4.2469 Å; angles 90.00, 90.00, 90.00 degrees
Last column: nearest neighbours and their distance in Å.
Sites, in units of the cell vectors:
Gd  0.0000  0.0000  0.0000  8 Ga 3.06, 4 Ag 3.11
Ga  0.0000  0.5000  0.5000  4 Gd 3.06, 4 Ag 3.06, 4 Ga 3.11
Ga  0.5000  0.0000  0.5000  4 Gd 3.06, 4 Ag 3.06, 4 Ga 3.11
Ag  0.5000  0.5000  0.0000  8 Ga 3.06, 4 Gd 3.11



(8)
Compound: GdGa2Ag
Source: Alexandria
Functional: PBE
Structure: relaxed

Electronic total energy, eV/atom: -6.049
Calculated formation energy, eV per atom: -0.302
M_tot, μB/cell: 7.40
DOS at the Fermi energy, states/eV per cell: 2.067

Cell lengths 3.3835, 3.3835, 7.0605 Å; angles 90.00, 90.00, 90.00 degrees
Last column: nearest neighbours and their distance in Å.
Sites, in units of the cell vectors:
Gd  0.0000  0.0000  0.0000  8 Ga 3.13, 4 Gd 3.38
Ga  0.5000  0.5000  0.2867  4 Ag 2.83, 1 Ga 3.01, 4 Gd 3.13
Ga  0.5000  0.5000  0.7133  4 Ag 2.83, 1 Ga 3.01, 4 Gd 3.13
Ag  0.0000  0.0000  0.5000  8 Ga 2.83



(9)
Compound: GdGa2Ag
Source: Alexandria
Functional: PBE
Structure: relaxed

Electronic total energy, eV/atom: -6.113
Calculated formation energy, eV per atom: -0.366
M_tot, μB/cell: 6.99
DOS at the Fermi energy, states/eV per cell: 1.493

Cell lengths 4.8530, 4.8530, 4.8530 Å; angles 60.00, 60.00, 60.00 degrees
Last column: nearest neighbours and their distance in Å.
Sites, in units of the cell vectors:
Gd  0.0000  0.0000  0.0000  8 Ga 2.97
Ga  0.2500  0.2500  0.2500  4 Ag 2.97, 4 Gd 2.97
Ga  0.7500  0.7500  0.7500  4 Ag 2.97, 4 Gd 2.97
Ag  0.5000  0.5000  0.5000  8 Ga 2.97



(10)
Compound: GdHfGaAg
Source: Alexandria
Functional: PBE
Structure: relaxed

Electronic total energy, eV/atom: -7.708
Calculated formation energy, eV per atom: -0.230
M_tot, μB/cell: 8.03
DOS at the Fermi energy, states/eV per cell: 1.892

Cell lengths 4.9630, 4.9630, 4.9630 Å; angles 60.00, 60.00, 60.00 degrees
Last column: nearest neighbours and their distance in Å.
Sites, in units of the cell vectors:
Gd  0.0000  0.0000  0.0000  4 Ga 3.04, 4 Ag 3.04
Hf  0.5000  0.5000  0.5000  4 Ga 3.04, 4 Ag 3.04
Ga  0.7500  0.7500  0.7500  4 Hf 3.04, 4 Gd 3.04
Ag  0.2500  0.2500  0.2500  4 Gd 3.04, 4 Hf 3.04



(11)
Compound: GdGaAgHg
Source: Alexandria
Functional: PBE
Structure: relaxed

Electronic total energy, eV/atom: -5.400
Calculated formation energy, eV per atom: -0.335
M_tot, μB/cell: 7.06
DOS at the Fermi energy, states/eV per cell: 2.981

Cell lengths 4.9617, 4.9617, 4.9617 Å; angles 60.00, 60.00, 60.00 degrees
Last column: nearest neighbours and their distance in Å.
Sites, in units of the cell vectors:
Gd  0.0000  0.0000  0.0000  4 Hg 3.04, 4 Ga 3.04
Ga  0.7500  0.7500  0.7500  4 Gd 3.04, 4 Ag 3.04
Ag  0.5000  0.5000  0.5000  4 Hg 3.04, 4 Ga 3.04
Hg  0.2500  0.2500  0.2500  4 Gd 3.04, 4 Ag 3.04



(12)
Compound: GdHoGaAg
Source: Alexandria
Functional: PBE
Structure: relaxed

Electronic total energy, eV/atom: -6.595
Calculated formation energy, eV per atom: -0.461
M_tot, μB/cell: 7.53
DOS at the Fermi energy, states/eV per cell: 2.956

Cell lengths 5.1213, 5.1213, 5.1213 Å; angles 60.00, 60.00, 60.00 degrees
Last column: nearest neighbours and their distance in Å.
Sites, in units of the cell vectors:
Gd  0.0000  0.0000  0.0000  4 Ga 3.14, 4 Ag 3.14
Ho  0.5000  0.5000  0.5000  4 Ag 3.14, 4 Ga 3.14
Ga  0.7500  0.7500  0.7500  4 Ho 3.14, 4 Gd 3.14
Ag  0.2500  0.2500  0.2500  4 Ho 3.14, 4 Gd 3.14